(one)
TaTl2Te after structural relaxation. Source: the Alexandria database, functional PBE-GGA.

a b c (Å): 3.406 5.125 5.680
angles (deg): 90.00 90.00 90.00
Positions (direct):
Ta 0.000 0.000 0.000
Tl 0.000 0.500 0.500
Tl 0.500 0.000 0.500
Te 0.500 0.500 0.000

Results
Space group   Pmmm (47)

=====

(two)
TaTl2Te after structural relaxation. Source: the Alexandria database, functional PBE-GGA.

a b c (Å): 3.364 3.364 9.409
angles (deg): 90.00 90.00 90.00
Positions (direct):
Ta 0.000 0.000 0.000
Tl 0.000 0.000 0.501
Tl 0.500 0.500 0.778
Te 0.500 0.500 0.167

Results
Space group   P4mm (99)

=====

Among the structures above, stability is greatest for (two).